Computed, not measured: an optimized crystal structure of Ho2Zn2Cu at the PBE level of DFT.

M_tot   0.0 Bohr magnetons per cell
Energy of formation   -1.53 eV per formula unit

CIF file:
```
data_Ho2Zn2Cu
_chemical_formula_sum 'Ho4 Zn4 Cu2'
_cell_length_a 4.411
_cell_length_b 5.407
_cell_length_c 9.708
_cell_angle_alpha 86.58
_cell_angle_beta 76.87
_cell_angle_gamma 65.93
_space_group_name_H-M_alt 'P 1'
_space_group_IT_number 1
_space_group_name_Hall 'P 1'
loop_
_atom_site_label
_atom_site_fract_x
_atom_site_fract_y
_atom_site_fract_z
Ho1 0.679 0.308 0.334
Ho2 0.915 0.281 0.889
Ho3 0.321 0.692 0.666
Ho4 0.085 0.719 0.111
Zn1 0.082 0.271 0.564
Zn2 0.626 0.864 0.884
Zn3 0.918 0.729 0.436
Zn4 0.374 0.136 0.116
Cu1 0.621 0.103 0.654
Cu2 0.379 0.897 0.346
```

***

Computed, not measured: an optimized crystal structure of PuFeH8Rh4 at the PBE level of DFT.

DFT total energy   -80.04 eV/cell
M_tot   7.4 Bohr magnetons per cell

CIF file:
```
data_PuFeH8Rh4
_chemical_formula_sum 'Pu1 Fe1 H8 Rh4'
_cell_length_a 5.680
_cell_length_b 5.680
_cell_length_c 5.524
_cell_angle_alpha 59.06
_cell_angle_beta 59.06
_cell_angle_gamma 60.00
_space_group_name_H-M_alt 'P 1'
_space_group_IT_number 1
_space_group_name_Hall 'P 1'
loop_
_atom_site_label
_atom_site_fract_x
_atom_site_fract_y
_atom_site_fract_z
Pu1 0.386 0.386 0.841
Fe1 0.993 0.993 0.021
H1 0.206 0.849 0.738
H2 0.849 0.206 0.738
H3 0.206 0.206 0.738
H4 0.222 0.222 0.334
H5 0.750 0.237 0.262
H6 0.237 0.750 0.262
H7 0.750 0.750 0.262
H8 0.761 0.761 0.716
Rh1 0.628 0.628 0.115
Rh2 0.001 0.506 0.491
Rh3 0.506 0.001 0.491
Rh4 0.001 0.001 0.491
```

***

Computed, not measured: an optimized crystal structure of Tl2CdHg5 at the PBE level of DFT.

M_tot   0.0 Bohr magnetons per cell
Energy of formation   0.76 eV per formula unit
Offset from the most stable computed form   0.819 eV per formula unit

CIF file:
```
data_Tl2CdHg5
_chemical_formula_sum 'Tl2 Cd1 Hg5'
_cell_length_a 5.435
_cell_length_b 6.958
_cell_length_c 6.958
_cell_angle_alpha 90.00
_cell_angle_beta 90.00
_cell_angle_gamma 90.00
_space_group_name_H-M_alt 'P 1'
_space_group_IT_number 1
_space_group_name_Hall 'P 1'
loop_
_atom_site_label
_atom_site_fract_x
_atom_site_fract_y
_atom_site_fract_z
Tl1 0.500 0.500 0.000
Tl2 0.500 0.000 0.500
Cd1 0.000 0.000 0.000
Hg1 0.000 0.711 0.711
Hg2 0.000 0.289 0.711
Hg3 0.000 0.711 0.289
Hg4 0.500 0.000 0.000
Hg5 0.000 0.289 0.289
```